Here is an optimized crystal structure of SbBrCl4 from Alexandria. Energies are from GGA-PBE.

ΔE_f (raw) (eV per atom): 0.48
N(E_F) (states/eV/cell): 2.54
Electronic total energy (eV for the cell shown): -10.3

Cell and atoms, written as extended XYZ:
```
6
Lattice="0.000 4.122 4.122 4.122 0.000 4.122 4.122 4.122 0.000" Properties=species:S:1:pos:R:3 pbc="T T T"
Sb 6.183 6.183 6.183
Br 0.000 0.000 0.000
Cl 3.099 5.146 5.146
Cl 5.146 5.146 3.099
Cl 5.146 3.099 5.146
Cl 3.099 3.099 3.099
```